1.
DFT (PBE-GGA) results for SrGa2FeSn after structural relaxation.

```
SrGa2FeSn
1.0
4.7392 0.0000 0.0000
0.0000 4.7392 0.0000
0.0000 0.0000 4.9919
Sr Ga Fe Sn
1 2 1 1
Cartesian
0.0000 0.0000 0.0000
0.0000 2.3696 2.4959
2.3696 0.0000 2.4959
2.3696 2.3696 2.4959
2.3696 2.3696 0.0000
```



2.
DFT (PBE-GGA) results for Nd3Er after structural relaxation.

```
Nd3Er
1.0
5.1416 0.0000 0.0000
0.0000 5.1416 0.0000
0.0000 0.0000 5.1416
Nd Er
3 1
Cartesian
0.0000 0.0000 2.5708
0.0000 2.5708 0.0000
2.5708 0.0000 0.0000
2.5708 2.5708 2.5708
```

Its energy above the most stable polymorph in this dataset is 0.0 meV/atom.



no.,total magnetic moment (Bohr magnetons per cell),formation energy from the elements (eV per atom),uncorrected energy (Ha/atom)
1,1.5,-0.24,-0.157
2,0.0,0.01,-0.173